1.
Material: Li3Sm2Ni12Ru
Method: DFT, GGA-PBE
State: relaxed

abc: 11.9951 11.9951 11.9951
angles: 24.49 24.49 24.49
With the nearest neighbours (Å) after each atom.
Sites, in units of the cell vectors:
Li: 0.0000 0.5000 0.5000  4 Ni 2.46, 4 Li 2.54
Li: 0.5000 0.0000 0.5000  4 Ni 2.46, 4 Li 2.54
Li: 0.5000 0.5000 0.0000  4 Ni 2.46, 4 Li 2.54
Sm: 0.1426 0.1426 0.1426  6 Ni 2.82, 3 Ru 3.05
Sm: 0.8574 0.8574 0.8574  6 Ni 2.82, 3 Ru 3.05
Ni: 0.1017 0.1017 0.6299  4 Ni 2.37-2.40, 2 Li 2.46
Ni: 0.1017 0.6299 0.1017  4 Ni 2.37-2.40, 2 Li 2.46
Ni: 0.1122 0.6054 0.6054  6 Ni 2.37-2.58, 1 Ru 2.52
Ni: 0.3701 0.8983 0.8983  4 Ni 2.37-2.40, 2 Li 2.46
Ni: 0.3946 0.3946 0.8878  6 Ni 2.37-2.58, 1 Ru 2.52
Ni: 0.3946 0.8878 0.3946  6 Ni 2.37-2.58, 1 Ru 2.52
Ni: 0.6054 0.1122 0.6054  6 Ni 2.37-2.58, 1 Ru 2.52
Ni: 0.6054 0.6054 0.1122  6 Ni 2.37-2.58, 1 Ru 2.52
Ni: 0.6299 0.1017 0.1017  4 Ni 2.37-2.40, 2 Li 2.46
Ni: 0.8878 0.3946 0.3946  6 Ni 2.37-2.58, 1 Ru 2.52
Ni: 0.8983 0.3701 0.8983  4 Ni 2.37-2.40, 2 Li 2.46
Ni: 0.8983 0.8983 0.3701  4 Ni 2.37-2.40, 2 Li 2.46
Ru: 0.5000 0.5000 0.5000  6 Ni 2.52

Properties
Total DFT energy (no corrections) ... -5.0858 eV/atom
Formation energy from the elements ... 0.127 eV/atom
V ... 260.7 Å³/cell
SG ... R-3m, No. 166
DOS at the Fermi energy ... 27.44 states/eV/f.u.
M_tot ... 3.80 μB per cell



2.
Material: SrMgMn
Method: DFT, GGA-PBE
State: relaxed

abc: 5.1182 5.1182 5.1182
angles: 60.00 60.00 60.00
With the nearest neighbours (Å) after each atom.
Sites, in units of the cell vectors:
Sr: 0.0000 0.0000 0.0000  4 Mn 3.13
Mg: 0.5000 0.5000 0.5000  4 Mn 3.13
Mn: 0.2500 0.2500 0.2500  4 Mg 3.13, 4 Sr 3.13

Properties
Total DFT energy (no corrections) ... -3.5701 eV/atom
Formation energy from the elements ... 0.579 eV/atom
Energy relative to the lowest polymorph listed for this composition ... 0.69 eV per formula unit
V ... 94.8 Å³/cell
SG ... F-43m, No. 216
DOS at the Fermi energy ... 2.78 states/eV/f.u.
M_tot ... 3.67 μB per cell